--- a ---
## Cd2HgAu (GGA-PBEsol)

Data for a geometry-optimized Cd2HgAu structure.

Calculated values
Density of states at the Fermi level: 0.40 states/eV per atom
Mass density: 12.92 g cm⁻³
Calculated volume: 20.00 Å³ per atom

Lattice parameters (Å, degrees): 3.154 3.154 27.857 90.00 90.00 120.00
Element x y z (fractional)
Cd  0.000  0.000  0.246
Cd  0.000  0.000  0.754
Cd  0.333  0.667  0.421
Cd  0.333  0.667  0.912
Cd  0.667  0.333  0.088
Cd  0.667  0.333  0.579
Hg  0.000  0.000  0.000
Hg  0.333  0.667  0.667
Hg  0.667  0.333  0.333
Au  0.000  0.000  0.500
Au  0.333  0.667  0.167
Au  0.667  0.333  0.833

=====

--- b ---
## Cd2HgAu (GGA-PBEsol)

Data for a geometry-optimized Cd2HgAu structure.

Calculated values
Density of states at the Fermi level: 0.30 states/eV per atom
Mass density: 13.04 g cm⁻³
Calculated volume: 19.81 Å³ per atom

Lattice parameters (Å, degrees): 9.630 3.483 4.847 90.00 102.83 90.00
Element x y z (fractional)
Cd  0.000  0.000  0.000
Cd  0.245  0.000  0.724
Cd  0.500  0.500  0.000
Cd  0.745  0.500  0.724
Hg  0.254  0.500  0.239
Hg  0.754  0.000  0.239
Au  0.004  0.500  0.512
Au  0.504  0.000  0.512

=====

Result of the stability comparison: b is the most stable of them.

=====

--- a ---
## AgPt2 (GGA-PBEsol)

Data for a geometry-optimized AgPt2 structure.

Calculated values
Density of states at the Fermi level: 1.32 states/eV per atom
Mass density: 17.92 g cm⁻³
Calculated volume: 15.38 Å³ per atom

Lattice parameters (Å, degrees): 4.814 4.829 8.383 90.21 105.91 99.46
Element x y z (fractional)
Ag  0.000  0.000  0.000
Ag  0.001  0.006  0.668
Ag  0.499  0.745  0.081
Ag  0.502  0.250  0.918
Pt  0.002  0.504  0.498
Pt  0.005  0.494  0.172
Pt  0.007  0.999  0.333
Pt  0.489  0.743  0.742
Pt  0.502  0.750  0.417
Pt  0.504  0.253  0.583
Pt  0.511  0.248  0.257
Pt  0.994  0.507  0.831

=====

--- b ---
## AgPt2 (GGA-PBEsol)

Data for a geometry-optimized AgPt2 structure.

Calculated values
Density of states at the Fermi level: 1.10 states/eV per atom
Mass density: 17.98 g cm⁻³
Calculated volume: 15.34 Å³ per atom

Lattice parameters (Å, degrees): 12.117 12.117 12.117 161.23 161.23 26.66
Element x y z (fractional)
Ag  0.291  0.541  0.750
Ag  0.459  0.709  0.750
Ag  0.541  0.291  0.250
Ag  0.709  0.459  0.250
Pt  0.042  0.792  0.250
Pt  0.125  0.375  0.750
Pt  0.208  0.958  0.250
Pt  0.375  0.125  0.250
Pt  0.625  0.875  0.750
Pt  0.792  0.042  0.750
Pt  0.875  0.625  0.250
Pt  0.958  0.208  0.750

=====

Result of the stability comparison: a is the most stable of them.

=====

--- a ---
## ZnFePCl2 (GGA-PBEsol)

Data for a geometry-optimized ZnFePCl2 structure.

Calculated values
Density of states at the Fermi level: 0.95 states/eV per atom
Mass density: 3.60 g cm⁻³
Calculated volume: 20.61 Å³ per atom

Lattice parameters (Å, degrees): 4.563 4.563 4.949 90.00 90.00 90.00
Element x y z (fractional)
Zn  0.000  0.000  0.000
Fe  0.500  0.500  0.500
P  0.000  0.000  0.500
Cl  0.000  0.500  0.000
Cl  0.500  0.000  0.000

=====

--- b ---
## ZnFePCl2 (GGA-PBEsol)

Data for a geometry-optimized ZnFePCl2 structure.

Calculated values
Density of states at the Fermi level: 0.77 states/eV per atom
Mass density: 4.01 g cm⁻³
Calculated volume: 18.49 Å³ per atom

Lattice parameters (Å, degrees): 4.605 4.605 4.358 90.00 90.00 90.00
Element x y z (fractional)
Zn  0.000  0.000  0.000
Fe  0.500  0.500  0.500
P  0.500  0.500  0.000
Cl  0.000  0.500  0.500
Cl  0.500  0.000  0.500

=====

Result of the stability comparison: b is the most stable of them.

=====

--- a ---
## Mg2AgMo (GGA-PBEsol)

Data for a geometry-optimized Mg2AgMo structure.

Calculated values
Density of states at the Fermi level: 0.55 states/eV per atom
Mass density: 6.10 g cm⁻³
Calculated volume: 17.17 Å³ per atom

Lattice parameters (Å, degrees): 2.882 2.882 28.639 90.00 90.00 120.00
Element x y z (fractional)
Mg  0.000  0.000  0.250
Mg  0.000  0.000  0.750
Mg  0.333  0.667  0.416
Mg  0.333  0.667  0.917
Mg  0.667  0.333  0.083
Mg  0.667  0.333  0.584
Ag  0.000  0.000  0.000
Ag  0.333  0.667  0.667
Ag  0.667  0.333  0.333
Mo  0.000  0.000  0.500
Mo  0.333  0.667  0.167
Mo  0.667  0.333  0.833

=====

--- b ---
## Mg2AgMo (GGA-PBEsol)

Data for a geometry-optimized Mg2AgMo structure.

Calculated values
Density of states at the Fermi level: 0.44 states/eV per atom
Mass density: 5.99 g cm⁻³
Calculated volume: 17.50 Å³ per atom

Lattice parameters (Å, degrees): 2.789 2.789 9.001 90.00 90.00 90.00
Element x y z (fractional)
Mg  0.000  0.000  0.000
Mg  0.500  0.500  0.288
Ag  0.500  0.500  0.765
Mo  0.000  0.000  0.528

=====

Result of the stability comparison: a is the most stable of them.